Computed, not measured: an optimized crystal structure of Tb2YP3 at the PBE level of DFT.

Values from the calculation:
Symmetry: P-3m1, No. 164

abc: 4.0206 4.0206 9.8615
angles: 90.00 90.00 120.00
Closest atoms and distances in Å follow each position.
Fractional coordinates of all 6 atoms:
Tb (0.3333, 0.6667, 0.3331)  6 P 2.84-2.85
Tb (0.6667, 0.3333, 0.6669)  6 P 2.84-2.85
Y (0.0000, 0.0000, 0.0000)  6 P 2.84
P (0.0000, 0.0000, 0.5000)  6 Tb 2.85
P (0.3333, 0.6667, 0.8337)  3 Y 2.84, 3 Tb 2.84
P (0.6667, 0.3333, 0.1663)  3 Y 2.84, 3 Tb 2.84

Computed, not measured: an optimized crystal structure of TbY2P3 at the PBE level of DFT.

Values from the calculation:
Symmetry: P-3m1, No. 164

abc: 4.0147 4.0147 9.8513
angles: 90.00 90.00 120.00
Closest atoms and distances in Å follow each position.
Fractional coordinates of all 6 atoms:
Tb (0.0000, 0.0000, 0.0000)  6 P 2.84
Y (0.3333, 0.6667, 0.3336)  6 P 2.84
Y (0.6667, 0.3333, 0.6664)  6 P 2.84
P (0.0000, 0.0000, 0.5000)  6 Y 2.84
P (0.3333, 0.6667, 0.8330)  3 Y 2.84, 3 Tb 2.84
P (0.6667, 0.3333, 0.1670)  3 Y 2.84, 3 Tb 2.84

Computed, not measured: an optimized crystal structure of Tb3YP4 at the PBE level of DFT.

Values from the calculation:
Symmetry: Cmmm, No. 65

abc: 6.9658 6.9658 4.0229
angles: 90.00 90.00 109.47
Closest atoms and distances in Å follow each position.
Fractional coordinates of all 8 atoms:
Tb (0.0000, 0.0000, 0.0000)  6 P 2.85
Tb (0.0000, 0.5000, 0.5000)  6 P 2.84
Tb (0.5000, 0.0000, 0.5000)  6 P 2.84
Y (0.5000, 0.5000, 0.0000)  6 P 2.84
P (0.2504, 0.2504, 0.5000)  2 Y 2.84, 4 Tb 2.84-2.85
P (0.2502, 0.7498, 0.0000)  1 Y 2.84, 5 Tb 2.84-2.85
P (0.7498, 0.2502, 0.0000)  1 Y 2.84, 5 Tb 2.84-2.85
P (0.7496, 0.7496, 0.5000)  2 Y 2.84, 4 Tb 2.84-2.85

Computed, not measured: an optimized crystal structure of TcP at the PBE level of DFT.

Values from the calculation:
Energy relative to the lowest polymorph listed for this composition, meV per atom: 88
Symmetry: P-6m2, No. 187

abc: 3.3298 3.3298 2.9511
angles: 90.00 90.00 120.00
Closest atoms and distances in Å follow each position.
Fractional coordinates of all 2 atoms:
Tc (0.0000, 0.0000, 0.0000)  6 P 2.42
P (0.3333, 0.6667, 0.5000)  6 Tc 2.42

Computed, not measured: an optimized crystal structure of TcP at the PBE level of DFT.

Values from the calculation:
Energy relative to the lowest polymorph listed for this composition, meV per atom: 69
Symmetry: I4_1md, No. 109

abc: 6.1315 6.1315 6.1315
angles: 150.49 150.49 42.22
Closest atoms and distances in Å follow each position.
Fractional coordinates of all 4 atoms:
Tc (0.0000, 0.0000, 0.0000)  6 P 2.42-2.43
Tc (0.7500, 0.2500, 0.5000)  6 P 2.42-2.43
P (0.1618, 0.6618, 0.5000)  6 Tc 2.42-2.43
P (0.4118, 0.4118, 0.0000)  6 Tc 2.42-2.43

Computed, not measured: an optimized crystal structure of TcP at the PBE level of DFT.

Values from the calculation:
Energy relative to the lowest polymorph listed for this composition, meV per atom: 408
Symmetry: P6_3/mmc, No. 194

abc: 3.6881 3.6881 4.7725
angles: 90.00 90.00 120.00
Closest atoms and distances in Å follow each position.
Fractional coordinates of all 4 atoms:
Tc (0.3333, 0.6667, 0.2500)  6 P 2.44
Tc (0.6667, 0.3333, 0.7500)  6 P 2.44
P (0.0000, 0.0000, 0.0000)  2 P 2.39, 6 Tc 2.44
P (0.0000, 0.0000, 0.5000)  2 P 2.39, 6 Tc 2.44

Computed, not measured: an optimized crystal structure of Tc3P2 at the PBE level of DFT.

Values from the calculation:
Symmetry: Pnma, No. 62

abc: 9.0691 2.9998 10.0000
angles: 90.00 90.00 90.00
Closest atoms and distances in Å follow each position.
Fractional coordinates of all 20 atoms:
Tc (0.0599, 0.2500, 0.1284)  5 P 2.37-2.49
Tc (0.1381, 0.7500, 0.5405)  5 P 2.36-2.53
Tc (0.2159, 0.2500, 0.7711)  4 P 2.38-2.46
Tc (0.2841, 0.7500, 0.2711)  4 P 2.38-2.46
Tc (0.3619, 0.2500, 0.0405)  5 P 2.36-2.53
Tc (0.4401, 0.7500, 0.6284)  5 P 2.37-2.49
Tc (0.5599, 0.2500, 0.3716)  5 P 2.37-2.49
Tc (0.6381, 0.7500, 0.9595)  5 P 2.36-2.53
Tc (0.7159, 0.2500, 0.7289)  4 P 2.38-2.46
Tc (0.7841, 0.7500, 0.2289)  4 P 2.38-2.46
Tc (0.8619, 0.2500, 0.4595)  5 P 2.36-2.53
Tc (0.9401, 0.7500, 0.8716)  5 P 2.37-2.49
P (0.0262, 0.7500, 0.3213)  7 Tc 2.38-2.53
P (0.1808, 0.7500, 0.9629)  7 Tc 2.36-2.49
P (0.3192, 0.2500, 0.4629)  7 Tc 2.36-2.49
P (0.4738, 0.2500, 0.8213)  7 Tc 2.38-2.53
P (0.5262, 0.7500, 0.1787)  7 Tc 2.38-2.53
P (0.6808, 0.7500, 0.5371)  7 Tc 2.36-2.49
P (0.8192, 0.2500, 0.0371)  7 Tc 2.36-2.49
P (0.9738, 0.2500, 0.6787)  7 Tc 2.38-2.53

Computed, not measured: an optimized crystal structure of TcP4 at the PBE level of DFT.

Values from the calculation:
Energy relative to the lowest polymorph listed for this composition, meV per atom: 77
Symmetry: C2/c, No. 15

abc: 6.0886 6.0886 6.0635
angles: 99.53 99.53 128.85
Closest atoms and distances in Å follow each position.
Fractional coordinates of all 10 atoms:
Tc (0.0727, 0.9273, 0.7500)  6 P 2.36-2.45
Tc (0.9273, 0.0727, 0.2500)  6 P 2.36-2.45
P (0.0455, 0.5019, 0.1862)  3 P 2.20-2.24, 1 Tc 2.36
P (0.1856, 0.3582, 0.6794)  2 P 2.22-2.24, 2 Tc 2.40-2.45
P (0.3582, 0.1856, 0.1794)  2 P 2.22-2.24, 2 Tc 2.40-2.45
P (0.4981, 0.9545, 0.3138)  3 P 2.20-2.24, 1 Tc 2.36
P (0.5019, 0.0455, 0.6862)  3 P 2.20-2.24, 1 Tc 2.36
P (0.6418, 0.8144, 0.8206)  2 P 2.22-2.24, 2 Tc 2.40-2.45
P (0.8144, 0.6418, 0.3206)  2 P 2.22-2.24, 2 Tc 2.40-2.45
P (0.9545, 0.4981, 0.8138)  3 P 2.20-2.24, 1 Tc 2.36

Computed, not measured: an optimized crystal structure of TcP at the PBE level of DFT.

Values from the calculation:
Energy relative to the lowest polymorph listed for this composition, meV per atom: 178
Symmetry: P6_3/mmc, No. 194

abc: 3.3003 3.3003 6.0454
angles: 90.00 90.00 120.00
Closest atoms and distances in Å follow each position.
Fractional coordinates of all 4 atoms:
Tc (0.0000, 0.0000, 0.0000)  6 P 2.43
Tc (0.0000, 0.0000, 0.5000)  6 P 2.43
P (0.3333, 0.6667, 0.2500)  6 Tc 2.43
P (0.6667, 0.3333, 0.7500)  6 Tc 2.43

Computed, not measured: an optimized crystal structure of TcP at the PBE level of DFT.

Values from the calculation:
Energy relative to the lowest polymorph listed for this composition, meV per atom: 465
Symmetry: Pmma, No. 51

abc: 4.9560 4.4529 5.0673
angles: 90.00 90.00 90.00
Closest atoms and distances in Å follow each position.
Fractional coordinates of all 8 atoms:
Tc (0.0000, 0.0000, 0.0000)  2 Tc 2.48, 6 P 2.54-2.71
Tc (0.2500, 0.5000, 0.3025)  5 P 2.33-2.55
Tc (0.5000, 0.0000, 0.0000)  2 Tc 2.48, 6 P 2.54-2.71
Tc (0.7500, 0.5000, 0.6975)  5 P 2.33-2.55
P (0.2500, 0.0000, 0.4372)  4 Tc 2.33-2.54, 2 P 2.56
P (0.2500, 0.5000, 0.8191)  8 Tc 2.45-2.71
P (0.7500, 0.0000, 0.5628)  4 Tc 2.33-2.54, 2 P 2.56
P (0.7500, 0.5000, 0.1809)  8 Tc 2.45-2.71

Computed, not measured: an optimized crystal structure of TcP at the PBE level of DFT.

Values from the calculation:
Energy relative to the lowest polymorph listed for this composition, meV per atom: 665
Symmetry: Fm-3m, No. 225

abc: 3.4529 3.4529 3.4529
angles: 60.00 60.00 60.00
Closest atoms and distances in Å follow each position.
Fractional coordinates of all 2 atoms:
Tc (0.0000, 0.0000, 0.0000)  6 P 2.44
P (0.5000, 0.5000, 0.5000)  6 Tc 2.44

Computed, not measured: an optimized crystal structure of TcP2 at the PBE level of DFT.

Values from the calculation:
Energy relative to the lowest polymorph listed for this composition, meV per atom: 0
Symmetry: Fd-3m, No. 227

abc: 7.1488 7.1488 7.1488
angles: 60.00 60.00 60.00
Closest atoms and distances in Å follow each position.
Fractional coordinates of all 6 atoms:
Tc (0.1250, 0.1250, 0.1250)  4 P 2.19
Tc (0.8750, 0.8750, 0.8750)  4 P 2.19
P (0.0000, 0.0000, 0.0000)  2 Tc 2.19
P (0.0000, 0.0000, 0.5000)  2 Tc 2.19
P (0.0000, 0.5000, 0.0000)  2 Tc 2.19
P (0.5000, 0.0000, 0.0000)  2 Tc 2.19

Computed, not measured: an optimized crystal structure of TcP at the PBE level of DFT.

Values from the calculation:
Energy relative to the lowest polymorph listed for this composition, meV per atom: 0
Symmetry: Pnma, No. 62

abc: 5.7088 3.0703 6.2490
angles: 90.00 90.00 90.00
Closest atoms and distances in Å follow each position.
Fractional coordinates of all 8 atoms:
Tc (0.0071, 0.2500, 0.1996)  6 P 2.42-2.48
Tc (0.4929, 0.7500, 0.6996)  6 P 2.42-2.48
Tc (0.5071, 0.2500, 0.3004)  6 P 2.42-2.48
Tc (0.9929, 0.7500, 0.8004)  6 P 2.42-2.48
P (0.1882, 0.2500, 0.5590)  6 Tc 2.42-2.48
P (0.3118, 0.7500, 0.0590)  6 Tc 2.42-2.48
P (0.6882, 0.2500, 0.9410)  6 Tc 2.42-2.48
P (0.8118, 0.7500, 0.4410)  6 Tc 2.42-2.48

Computed, not measured: an optimized crystal structure of TcP2 at the PBE level of DFT.

Values from the calculation:
Energy relative to the lowest polymorph listed for this composition, meV per atom: 490
Symmetry: Fd-3m, No. 227

abc: 4.8637 4.8637 4.8637
angles: 60.00 60.00 60.00
Closest atoms and distances in Å follow each position.
Fractional coordinates of all 6 atoms:
Tc (0.1250, 0.1250, 0.1250)  12 P 2.85, 4 Tc 2.98
Tc (0.8750, 0.8750, 0.8750)  12 P 2.85, 4 Tc 2.98
P (0.0000, 0.5000, 0.5000)  6 P 2.43
P (0.5000, 0.0000, 0.5000)  6 P 2.43
P (0.5000, 0.5000, 0.0000)  6 P 2.43
P (0.5000, 0.5000, 0.5000)  6 P 2.43

Computed, not measured: an optimized crystal structure of TcP at the PBE level of DFT.

Values from the calculation:
Energy relative to the lowest polymorph listed for this composition, meV per atom: 536
Symmetry: F-43m, No. 216

abc: 3.7255 3.7255 3.7255
angles: 60.00 60.00 60.00
Closest atoms and distances in Å follow each position.
Fractional coordinates of all 2 atoms:
Tc (0.0000, 0.0000, 0.0000)  4 P 2.28
P (0.2500, 0.2500, 0.2500)  4 Tc 2.28

Computed, not measured: an optimized crystal structure of TcP4 at the PBE level of DFT.

Values from the calculation:
Energy relative to the lowest polymorph listed for this composition, meV per atom: 0
Symmetry: Pbca, No. 61

abc: 6.2662 9.2612 10.8978
angles: 90.00 90.00 90.00
Closest atoms and distances in Å follow each position.
Fractional coordinates of all 40 atoms:
Tc (0.1212, 0.1092, 0.0753)  6 P 2.34-2.54
Tc (0.1212, 0.3908, 0.5753)  6 P 2.34-2.54
Tc (0.3788, 0.6092, 0.0753)  6 P 2.34-2.54
Tc (0.3788, 0.8908, 0.5753)  6 P 2.34-2.54
Tc (0.6212, 0.1092, 0.4247)  6 P 2.34-2.54
Tc (0.6212, 0.3908, 0.9247)  6 P 2.34-2.54
Tc (0.8788, 0.6092, 0.4247)  6 P 2.34-2.54
Tc (0.8788, 0.8908, 0.9247)  6 P 2.34-2.54
P (0.0009, 0.7083, 0.0688)  2 P 2.22-2.27, 1 Tc 2.43
P (0.0009, 0.7917, 0.5688)  2 P 2.22-2.27, 1 Tc 2.43
P (0.0594, 0.2187, 0.7357)  3 P 2.19-2.27, 1 Tc 2.40
P (0.0594, 0.2813, 0.2357)  3 P 2.19-2.27, 1 Tc 2.40
P (0.1904, 0.5532, 0.7382)  3 P 2.19-2.21, 1 Tc 2.37
P (0.1904, 0.9468, 0.2382)  3 P 2.19-2.21, 1 Tc 2.37
P (0.2437, 0.5436, 0.4189)  2 P 2.20-2.22, 2 Tc 2.34-2.37
P (0.2437, 0.9564, 0.9189)  2 P 2.20-2.22, 2 Tc 2.34-2.37
P (0.2563, 0.0436, 0.4189)  2 P 2.20-2.22, 2 Tc 2.34-2.37
P (0.2563, 0.4564, 0.9189)  2 P 2.20-2.22, 2 Tc 2.34-2.37
P (0.3096, 0.0532, 0.7382)  3 P 2.19-2.21, 1 Tc 2.37
P (0.3096, 0.4468, 0.2382)  3 P 2.19-2.21, 1 Tc 2.37
P (0.4406, 0.7187, 0.7357)  3 P 2.19-2.27, 1 Tc 2.40
P (0.4406, 0.7813, 0.2357)  3 P 2.19-2.27, 1 Tc 2.40
P (0.4991, 0.2083, 0.0688)  2 P 2.22-2.27, 1 Tc 2.43
P (0.4991, 0.2917, 0.5688)  2 P 2.22-2.27, 1 Tc 2.43
P (0.5009, 0.7083, 0.4312)  2 P 2.22-2.27, 1 Tc 2.43
P (0.5009, 0.7917, 0.9312)  2 P 2.22-2.27, 1 Tc 2.43
P (0.5594, 0.2187, 0.7643)  3 P 2.19-2.27, 1 Tc 2.40
P (0.5594, 0.2813, 0.2643)  3 P 2.19-2.27, 1 Tc 2.40
P (0.6904, 0.5532, 0.7618)  3 P 2.19-2.21, 1 Tc 2.37
P (0.6904, 0.9468, 0.2618)  3 P 2.19-2.21, 1 Tc 2.37
P (0.7437, 0.5436, 0.0811)  2 P 2.20-2.22, 2 Tc 2.34-2.37
P (0.7437, 0.9564, 0.5811)  2 P 2.20-2.22, 2 Tc 2.34-2.37
P (0.7563, 0.0436, 0.0811)  2 P 2.20-2.22, 2 Tc 2.34-2.37
P (0.7563, 0.4564, 0.5811)  2 P 2.20-2.22, 2 Tc 2.34-2.37
P (0.8096, 0.0532, 0.7618)  3 P 2.19-2.21, 1 Tc 2.37
P (0.8096, 0.4468, 0.2618)  3 P 2.19-2.21, 1 Tc 2.37
P (0.9406, 0.7187, 0.7643)  3 P 2.19-2.27, 1 Tc 2.40
P (0.9406, 0.7813, 0.2643)  3 P 2.19-2.27, 1 Tc 2.40
P (0.9991, 0.2083, 0.4312)  2 P 2.22-2.27, 1 Tc 2.43
P (0.9991, 0.2917, 0.9312)  2 P 2.22-2.27, 1 Tc 2.43

Computed, not measured: an optimized crystal structure of ThTc2P2 at the PBE level of DFT.

Values from the calculation:
Symmetry: I4/mmm, No. 139

abc: 5.7018 5.7018 5.7018
angles: 136.81 136.81 62.73
Closest atoms and distances in Å follow each position.
Fractional coordinates of all 5 atoms:
Th (0.0000, 0.0000, 0.0000)  8 Tc 3.21, 10 P 3.25-3.55
Tc (0.2500, 0.7500, 0.5000)  4 P 2.38
Tc (0.7500, 0.2500, 0.5000)  4 P 2.38
P (0.3648, 0.3648, 0.0000)  4 Tc 2.38, 1 P 2.63
P (0.6352, 0.6352, 0.0000)  4 Tc 2.38, 1 P 2.63

Computed, not measured: an optimized crystal structure of ThTc4P2 at the PBE level of DFT.

Values from the calculation:
Symmetry: Cmmm, No. 65

abc: 7.1080 7.1080 4.0553
angles: 90.00 90.00 146.47
Closest atoms and distances in Å follow each position.
Fractional coordinates of all 7 atoms:
Th (0.0000, 0.0000, 0.0000)  8 P 3.13, 8 Tc 3.22-3.31
Tc (0.1839, 0.8161, 0.5000)  2 P 2.42, 2 Tc 2.65
Tc (0.3091, 0.6909, 0.0000)  2 P 2.45, 4 Tc 2.61-2.65
Tc (0.6909, 0.3091, 0.0000)  2 P 2.45, 4 Tc 2.61-2.65
Tc (0.8161, 0.1839, 0.5000)  2 P 2.42, 2 Tc 2.65
P (0.4105, 0.5895, 0.5000)  4 Tc 2.42-2.45, 1 P 2.44
P (0.5895, 0.4105, 0.5000)  4 Tc 2.42-2.45, 1 P 2.44

Computed, not measured: an optimized crystal structure of UTc4P2 at the PBE level of DFT.

Values from the calculation:
Symmetry: Cmmm, No. 65

abc: 6.9656 6.9656 4.0027
angles: 90.00 90.00 146.24
Closest atoms and distances in Å follow each position.
Fractional coordinates of all 7 atoms:
U (0.0000, 0.0000, 0.0000)  8 P 3.06, 8 Tc 3.13-3.22
Tc (0.1808, 0.8192, 0.5000)  2 P 2.40, 2 Tc 2.66
Tc (0.3123, 0.6877, 0.0000)  2 P 2.44, 4 Tc 2.62-2.66
Tc (0.6877, 0.3123, 0.0000)  2 P 2.44, 4 Tc 2.62-2.66
Tc (0.8192, 0.1808, 0.5000)  2 P 2.40, 2 Tc 2.66
P (0.4164, 0.5836, 0.5000)  1 P 2.23, 4 Tc 2.40-2.44
P (0.5836, 0.4164, 0.5000)  1 P 2.23, 4 Tc 2.40-2.44

Computed, not measured: an optimized crystal structure of Tm3TeP2 at the PBE level of DFT.

Values from the calculation:
Symmetry: P-3m1, No. 164

abc: 4.0264 4.0264 10.1365
angles: 90.00 90.00 120.00
Closest atoms and distances in Å follow each position.
Fractional coordinates of all 6 atoms:
Tm (0.0000, 0.0000, 0.0000)  6 P 2.82
Tm (0.3333, 0.6667, 0.2970)  3 P 2.72
Tm (0.6667, 0.3333, 0.7030)  3 P 2.72
Te (0.0000, 0.0000, 0.5000)  6 Tm 3.10
P (0.3333, 0.6667, 0.8431)  6 Tm 2.72-2.82
P (0.6667, 0.3333, 0.1569)  6 Tm 2.72-2.82

| no. | energy (eV per atom) | magnetization (μB/cell) |
| --- | --- | --- |
| 1 | -6.94 | 0.00 |
| 2 | -7.25 | 0.00 |
| 3 | -6.87 | 0.00 |
| 4 | -8.37 | 0.00 |
| 5 | -8.39 | 0.01 |
| 6 | -8.05 | 0.02 |
| 7 | -8.90 | 0.00 |
| 8 | -6.73 | 0.01 |
| 9 | -8.28 | 0.02 |
| 10 | -7.99 | 0.00 |
| 11 | -7.79 | 0.01 |
| 12 | -6.76 | 0.01 |
| 13 | -8.46 | 0.02 |
| 14 | -6.27 | 0.15 |
| 15 | -7.92 | 0.01 |
| 16 | -6.81 | 0.01 |
| 17 | -8.72 | 0.01 |
| 18 | -9.26 | 0.00 |
| 19 | -9.61 | 0.08 |
| 20 | -6.12 | 0.01 |